This record from Alexandria describes Na2BeMoO4 after structural relaxation. The functional is PBE+U.

The structure in CIF format:
```
data_Na2BeMoO4
_cell_length_a 5.567
_cell_length_b 5.567
_cell_length_c 6.358
_cell_angle_alpha 90.00
_cell_angle_beta 90.00
_cell_angle_gamma 90.00
_symmetry_space_group_name_H-M 'I -4'
_symmetry_Int_Tables_number 82
_symmetry_space_group_name_Hall 'I -4'
loop_
_atom_site_label
_atom_site_type_symbol
_atom_site_fract_x
_atom_site_fract_y
_atom_site_fract_z
Na1 Na 0.000 0.000 0.000
Na2 Na 0.000 0.500 0.250
Be1 Be 0.000 0.000 0.500
Mo1 Mo 0.000 0.500 0.750
O1 O 0.131 0.199 0.659
```

Total DFT energy (no corrections) ... -5.9217 eV/atom